First-principles (GGA+U) data for a relaxed CsCoSe2O8 crystal, as listed in the Alexandria database.

- Size of the total moment: 0.2 μB/cell
- E: -189.2 eV/cell

Geometry as CIF:
```
data_CsCoSe2O8
_cell_length_a 4.9371
_cell_length_b 4.9371
_cell_length_c 27.9318
_cell_angle_alpha 90.00
_cell_angle_beta 90.00
_cell_angle_gamma 120.00
_symmetry_space_group_name_H-M 'R -3'
_symmetry_Int_Tables_number 148
_symmetry_space_group_name_Hall '-R 3'
loop_
_atom_site_label
_atom_site_fract_x
_atom_site_fract_y
_atom_site_fract_z
_atom_site_occupancy
Cs1 0.0000 0.0000 0.0000 1
Co1 0.0000 0.0000 0.5000 1
Se1 0.0000 0.0000 0.2252 1
O1 0.0000 0.0000 0.2843 1
O2 0.0108 0.6468 0.1255 1
```